Record 1
RbBe: optimized geometry, GGA-PBE.

## Properties
Size of the total moment, μB per formula unit: 0.0

Unit cell a=6.1477 b=6.1477 c=4.2532 alpha=90.00 beta=90.00 gamma=120.00
Last column: nearest neighbours and their distance in Å.
Positions (direct):
Rb 0.3333 0.6667 0.2995  3 Be 3.55
Rb 0.6667 0.3333 0.7995  3 Be 3.55
Be 0.0000 0.0000 0.8098  2 Be 2.13
Be 0.0000 0.0000 0.3098  2 Be 2.13

=====

Record 2
RbBe: optimized geometry, GGA-PBE.

## Properties
Size of the total moment, μB per formula unit: 0.5

Unit cell a=10.0257 b=10.0257 c=10.0257 alpha=90.00 beta=90.00 gamma=90.00
Last column: nearest neighbours and their distance in Å.
Positions (direct):
Rb 0.7823 0.7823 0.7823  4 Be 3.56-3.64
Rb 0.7823 0.2177 0.2177  4 Be 3.56-3.64
Rb 0.2823 0.7177 0.7177  4 Be 3.56-3.64
Rb 0.7177 0.7177 0.2823  4 Be 3.56-3.64
Rb 0.2177 0.2177 0.7823  4 Be 3.56-3.64
Rb 0.2177 0.7823 0.2177  4 Be 3.56-3.64
Rb 0.7177 0.2823 0.7177  4 Be 3.56-3.64
Rb 0.2823 0.2823 0.2823  4 Be 3.56-3.64
Be 0.4273 0.4273 0.5727  3 Be 2.06
Be 0.9273 0.9273 0.0727  3 Be 2.06
Be 0.9273 0.0727 0.9273  3 Be 2.06
Be 0.4273 0.5727 0.4273  3 Be 2.06
Be 0.0727 0.0727 0.0727  3 Be 2.06
Be 0.0727 0.9273 0.9273  3 Be 2.06
Be 0.5727 0.5727 0.5727  3 Be 2.06
Be 0.5727 0.4273 0.4273  3 Be 2.06

=====

Number 1: formation enthalpy at 0 K 0.71 eV/atom. Number 2: formation enthalpy at 0 K 0.83 eV/atom.